No. 1
A relaxed MgZr2Cl crystal. Source: Alexandria via LeMat-Bulk, functional GGA-PBE.

Output
The density of states at the Fermi level is 2.96 states/eV per cell. The value obtained for the energy above the most stable polymorph in this dataset is 111 kJ/mol of formula units. Its magnetic moment is 0.0 μB per formula unit. The uncorrected formation energy is -0.20 eV per atom.

Unit cell a=3.1338 b=3.1338 c=8.2338 alpha=90.00 beta=90.00 gamma=90.00
Element x y z (fractional)
Zr (0.0000, 0.0000, 0.0247)
Zr (0.0000, 0.0000, 0.4753)
Mg (0.5000, 0.5000, 0.7500)
Cl (0.5000, 0.5000, 0.2500)



No. 2
A relaxed AcHfO4 crystal. Source: Alexandria via LeMat-Bulk, functional GGA-PBE.

Output
The density of states at the Fermi level is 2.26 states/eV per cell. The value obtained for the energy above the most stable polymorph in this dataset is 0 kJ/mol of formula units. Its magnetic moment is 1.0 μB per formula unit. The uncorrected formation energy is -2.90 eV per atom.

Unit cell a=4.1354 b=4.1354 c=10.9474 alpha=90.00 beta=90.00 gamma=90.00
Each line ends with the local moment (μB).
Element x y z (fractional)
Hf (0.0000, 0.5000, 0.1155)  -0.06
Hf (0.5000, 0.0000, 0.8845)  -0.06
O (0.0000, 0.0000, 0.1032)  0.35
O (0.5000, 0.5000, 0.5000)  0.04
O (0.0000, 0.5000, 0.2888)  0.16
O (0.0000, 0.0000, 0.8968)  0.35
O (0.0000, 0.0000, 0.5000)  0.04
O (0.5000, 0.0000, 0.7112)  0.16
O (0.5000, 0.5000, 0.8968)  0.35
O (0.5000, 0.5000, 0.1032)  0.35
Ac (0.0000, 0.5000, 0.6205)  0.00
Ac (0.5000, 0.0000, 0.3795)  0.00



No. 3
A relaxed TmPuAl6 crystal. Source: Alexandria via LeMat-Bulk, functional GGA-PBE.

Output
The density of states at the Fermi level is 6.66 states/eV per cell. The calculation puts the formation energy at -0.36 eV per atom. Its magnetic moment is 5.5 μB per formula unit.

Unit cell a=4.6908 b=6.1241 c=6.1241 alpha=119.98 beta=90.00 gamma=90.00
Each line ends with the local moment (μB).
Element x y z (fractional)
Al (0.5000, 0.9032, 0.5567)  -0.01
Al (0.0000, 0.5960, 0.9419)  0.01
Al (0.5000, 0.9034, 0.0966)  -0.01
Al (0.0000, 0.0581, 0.4040)  0.01
Al (0.5000, 0.4433, 0.0968)  -0.01
Al (0.0000, 0.5957, 0.4043)  0.01
Pu (0.5000, 0.4165, 0.5835)  5.18
Tm (0.0000, 0.0834, 0.9166)  -0.07



No. 4
A relaxed Pu2Si2Ru5W crystal. Source: Alexandria via LeMat-Bulk, functional GGA-PBE.

Output
The density of states at the Fermi level is 41.60 states/eV per cell. Its magnetic moment is 9.9 μB per formula unit. The uncorrected formation energy is -0.32 eV per atom.

Unit cell a=3.1207 b=10.2261 c=10.2261 alpha=90.00 beta=90.00 gamma=90.00
Each line ends with the local moment (μB).
Element x y z (fractional)
Ru (0.5000, 0.2961, 0.5634)  -0.10
Ru (0.5000, 0.9366, 0.2039)  -0.10
Ru (0.5000, 0.0000, 0.5000)  -0.10
Ru (0.5000, 0.7039, 0.4366)  -0.10
Ru (0.5000, 0.2039, 0.0634)  -0.10
Ru (0.5000, 0.4366, 0.2961)  -0.10
Ru (0.5000, 0.7961, 0.9366)  -0.10
Ru (0.5000, 0.5634, 0.7039)  -0.10
Ru (0.5000, 0.5000, 0.0000)  -0.10
Ru (0.5000, 0.0634, 0.7961)  -0.10
W (0.0000, 0.5000, 0.5000)  0.04
W (0.0000, 0.0000, 0.0000)  0.04
Si (0.0000, 0.8734, 0.3734)  0.00
Si (0.0000, 0.6266, 0.8734)  0.00
Si (0.0000, 0.1266, 0.6266)  0.00
Si (0.0000, 0.3734, 0.1266)  0.00
Pu (0.0000, 0.6748, 0.1748)  5.01
Pu (0.0000, 0.3252, 0.8252)  5.01
Pu (0.0000, 0.1748, 0.3252)  5.01
Pu (0.0000, 0.8252, 0.6748)  5.01



No. 5
A relaxed V2Cu2Ir crystal. Source: Alexandria via LeMat-Bulk, functional GGA-PBE.

Output
The density of states at the Fermi level is 8.03 states/eV per cell. The calculation puts the formation energy at 0.09 eV per atom. Its magnetic moment is 1.0 μB per formula unit.

Unit cell a=6.6564 b=6.6564 c=2.9559 alpha=90.00 beta=90.00 gamma=90.00
Each line ends with the local moment (μB).
Element x y z (fractional)
V (0.8254, 0.3254, 0.5000)  0.43
V (0.1746, 0.6746, 0.5000)  0.43
V (0.6746, 0.8254, 0.5000)  0.43
V (0.3254, 0.1746, 0.5000)  0.43
Cu (0.1252, 0.3748, 0.0000)  0.06
Cu (0.8748, 0.6252, 0.0000)  0.06
Cu (0.3748, 0.8748, 0.0000)  0.06
Cu (0.6252, 0.1252, 0.0000)  0.06
Ir (0.0000, 0.0000, 0.0000)  -0.04
Ir (0.5000, 0.5000, 0.0000)  -0.04



No. 6
A relaxed K2CdIn crystal. Source: Alexandria via LeMat-Bulk, functional GGA-PBE.

Output
The density of states at the Fermi level is 1.64 states/eV per cell. The calculation puts the formation energy at 0.10 eV per atom. Its magnetic moment is 0.0 μB per formula unit.

Unit cell a=12.3858 b=12.3858 c=12.3858 alpha=17.69 beta=17.69 gamma=17.69
Element x y z (fractional)
In (0.7500, 0.7500, 0.7500)
Cd (0.2500, 0.2500, 0.2500)
K (0.0013, 0.0013, 0.0013)
K (0.4987, 0.4987, 0.4987)